Entry 1:
{"formula": "NaLiMg30O31", "functional": "GGA-PBE", "state": "relaxed", "mass_density_g_cm3": 3.34, "e_form_raw_ev_per_atom": -2.606, "e_above_lowest_polymorph_mev_per_atom": 0.0, "dft_energy_ev_per_cell": -368.946, "spacegroup": "No. 99", "cell": [[8.5543, 0.0000, 0.0000], [0.0000, 8.5543, 0.0000], [0.0000, 0.0000, 8.5245]], "species": ["Na", "Li", "Mg", "Mg", "Mg", "Mg", "Mg", "Mg", "Mg", "Mg", "Mg", "Mg", "Mg", "Mg", "Mg", "Mg", "Mg", "Mg", "Mg", "Mg", "Mg", "Mg", "Mg", "Mg", "Mg", "Mg", "Mg", "Mg", "Mg", "Mg", "Mg", "Mg", "O", "O", "O", "O", "O", "O", "O", "O", "O", "O", "O", "O", "O", "O", "O", "O", "O", "O", "O", "O", "O", "O", "O", "O", "O", "O", "O", "O", "O", "O", "O"], "frac_coords": [[0.0000, 0.0000, 0.0000], [0.5000, 0.5000, 0.9775], [0.0000, 0.0000, 0.5020], [0.0000, 0.2462, 0.2488], [0.0000, 0.2477, 0.7538], [0.0000, 0.5000, 0.5040], [0.0000, 0.5000, 0.9979], [0.0000, 0.7523, 0.7538], [0.0000, 0.7538, 0.2488], [0.2297, 0.5000, 0.2473], [0.2462, 0.0000, 0.2488], [0.2477, 0.0000, 0.7538], [0.2504, 0.2504, 0.5013], [0.2504, 0.7496, 0.5013], [0.2512, 0.5000, 0.7586], [0.2517, 0.2517, 0.0017], [0.2517, 0.7483, 0.0017], [0.5000, 0.0000, 0.5040], [0.5000, 0.0000, 0.9979], [0.5000, 0.2297, 0.2473], [0.5000, 0.2512, 0.7586], [0.5000, 0.5000, 0.5224], [0.5000, 0.7488, 0.7586], [0.5000, 0.7703, 0.2473], [0.7483, 0.2517, 0.0017], [0.7483, 0.7483, 0.0017], [0.7488, 0.5000, 0.7586], [0.7496, 0.2504, 0.5013], [0.7496, 0.7496, 0.5013], [0.7523, 0.0000, 0.7538], [0.7538, 0.0000, 0.2488], [0.7703, 0.5000, 0.2473], [0.0000, 0.0000, 0.2643], [0.0000, 0.0000, 0.7376], [0.0000, 0.2537, 0.4996], [0.0000, 0.2632, 0.0029], [0.0000, 0.5000, 0.2560], [0.0000, 0.5000, 0.7476], [0.0000, 0.7368, 0.0029], [0.0000, 0.7463, 0.4996], [0.2502, 0.5000, 0.0067], [0.2516, 0.2516, 0.7507], [0.2516, 0.7484, 0.7507], [0.2537, 0.0000, 0.4996], [0.2554, 0.2554, 0.2518], [0.2554, 0.7446, 0.2518], [0.2574, 0.5000, 0.4937], [0.2632, 0.0000, 0.0029], [0.5000, 0.0000, 0.2560], [0.5000, 0.0000, 0.7476], [0.5000, 0.2502, 0.0067], [0.5000, 0.2574, 0.4937], [0.5000, 0.5000, 0.7512], [0.5000, 0.7426, 0.4937], [0.5000, 0.7498, 0.0067], [0.7368, 0.0000, 0.0029], [0.7426, 0.5000, 0.4937], [0.7446, 0.2554, 0.2518], [0.7446, 0.7446, 0.2518], [0.7463, 0.0000, 0.4996], [0.7484, 0.2516, 0.7507], [0.7484, 0.7484, 0.7507], [0.7498, 0.5000, 0.0067]]}

=====

Entry 2:
{"formula": "NaLiMg14O15", "functional": "GGA-PBE", "state": "relaxed", "mass_density_g_cm3": 3.22, "e_form_raw_ev_per_atom": -2.494, "e_above_lowest_polymorph_mev_per_atom": 0.0, "dft_energy_ev_per_cell": -177.229, "spacegroup": "No. 25", "cell": [[4.2803, 0.0000, 0.0000], [0.0000, 8.6078, 0.0000], [0.0000, 0.0000, 8.5393]], "species": ["Na", "Li", "Mg", "Mg", "Mg", "Mg", "Mg", "Mg", "Mg", "Mg", "Mg", "Mg", "Mg", "Mg", "Mg", "Mg", "O", "O", "O", "O", "O", "O", "O", "O", "O", "O", "O", "O", "O", "O", "O"], "frac_coords": [[0.0000, 0.0000, 0.0000], [0.0000, 0.5000, 0.4730], [0.0000, 0.0000, 0.4946], [0.0000, 0.2273, 0.7443], [0.0000, 0.2491, 0.2538], [0.0000, 0.5000, 0.0189], [0.0000, 0.7509, 0.2538], [0.0000, 0.7727, 0.7443], [0.5000, 0.0000, 0.2436], [0.5000, 0.0000, 0.7483], [0.5000, 0.2484, 0.9947], [0.5000, 0.2546, 0.4978], [0.5000, 0.5000, 0.2587], [0.5000, 0.5000, 0.7425], [0.5000, 0.7454, 0.4978], [0.5000, 0.7516, 0.9947], [0.0000, 0.0000, 0.2597], [0.0000, 0.0000, 0.7336], [0.0000, 0.2519, 0.5037], [0.0000, 0.2726, 0.9806], [0.0000, 0.5000, 0.2481], [0.0000, 0.7274, 0.9806], [0.0000, 0.7481, 0.5037], [0.5000, 0.0000, 0.4991], [0.5000, 0.0000, 0.9927], [0.5000, 0.2534, 0.2455], [0.5000, 0.2589, 0.7453], [0.5000, 0.5000, 0.5081], [0.5000, 0.5000, 0.9835], [0.5000, 0.7411, 0.7453], [0.5000, 0.7466, 0.2455]]}

=====

Entry 3:
{"formula": "NaLiMg30O31", "functional": "GGA-PBE", "state": "relaxed", "mass_density_g_cm3": 3.34, "e_form_raw_ev_per_atom": -2.604, "e_above_lowest_polymorph_mev_per_atom": 2.0, "dft_energy_ev_per_cell": -368.817, "spacegroup": "No. 25", "cell": [[8.5492, 0.0000, 0.0000], [0.0000, 8.5674, 0.0000], [0.0000, 0.0000, 8.5293]], "species": ["Na", "Li", "Mg", "Mg", "Mg", "Mg", "Mg", "Mg", "Mg", "Mg", "Mg", "Mg", "Mg", "Mg", "Mg", "Mg", "Mg", "Mg", "Mg", "Mg", "Mg", "Mg", "Mg", "Mg", "Mg", "Mg", "Mg", "Mg", "Mg", "Mg", "Mg", "Mg", "O", "O", "O", "O", "O", "O", "O", "O", "O", "O", "O", "O", "O", "O", "O", "O", "O", "O", "O", "O", "O", "O", "O", "O", "O", "O", "O", "O", "O", "O", "O"], "frac_coords": [[0.0000, 0.0000, 0.0000], [0.5000, 0.5000, 0.9985], [0.0000, 0.0000, 0.5034], [0.0000, 0.2504, 0.7546], [0.0000, 0.2527, 0.2504], [0.0000, 0.5000, 0.0012], [0.0000, 0.5000, 0.5038], [0.0000, 0.7473, 0.2504], [0.0000, 0.7496, 0.7546], [0.2282, 0.0000, 0.2490], [0.2461, 0.0000, 0.7556], [0.2495, 0.5000, 0.2493], [0.2506, 0.2501, 0.5019], [0.2512, 0.2523, 0.0031], [0.2515, 0.5000, 0.7565], [0.2512, 0.7477, 0.0031], [0.2506, 0.7499, 0.5019], [0.5000, 0.0000, 0.5228], [0.5000, 0.0000, 0.9825], [0.5000, 0.2560, 0.7579], [0.5000, 0.2734, 0.2463], [0.5000, 0.5000, 0.5039], [0.5000, 0.7266, 0.2463], [0.5000, 0.7440, 0.7579], [0.7494, 0.2501, 0.5019], [0.7488, 0.2523, 0.0031], [0.7485, 0.5000, 0.7565], [0.7488, 0.7477, 0.0031], [0.7494, 0.7499, 0.5019], [0.7505, 0.5000, 0.2493], [0.7539, 0.0000, 0.7556], [0.7718, 0.0000, 0.2490], [0.0000, 0.0000, 0.2660], [0.0000, 0.0000, 0.7385], [0.0000, 0.2504, 0.5010], [0.0000, 0.2614, 0.0040], [0.0000, 0.5000, 0.2565], [0.0000, 0.5000, 0.7491], [0.0000, 0.7386, 0.0040], [0.0000, 0.7496, 0.5010], [0.2478, 0.5000, 0.0039], [0.2510, 0.5000, 0.5014], [0.2517, 0.2479, 0.7522], [0.2517, 0.7521, 0.7522], [0.2551, 0.2451, 0.2528], [0.2551, 0.7549, 0.2528], [0.2586, 0.0000, 0.4950], [0.2667, 0.0000, 0.0109], [0.5000, 0.0000, 0.7514], [0.5000, 0.2405, 0.0080], [0.5000, 0.2429, 0.4951], [0.5000, 0.5000, 0.2610], [0.5000, 0.5000, 0.7450], [0.5000, 0.7571, 0.4951], [0.5000, 0.7595, 0.0080], [0.7333, 0.0000, 0.0109], [0.7414, 0.0000, 0.4950], [0.7449, 0.2451, 0.2528], [0.7449, 0.7549, 0.2528], [0.7483, 0.2479, 0.7522], [0.7483, 0.7521, 0.7522], [0.7490, 0.5000, 0.5014], [0.7522, 0.5000, 0.0039]]}

=====

Entry 4:
{"formula": "NaLiMg14O15", "functional": "GGA-PBE", "state": "relaxed", "mass_density_g_cm3": 3.22, "e_form_raw_ev_per_atom": -2.488, "e_above_lowest_polymorph_mev_per_atom": 5.6, "dft_energy_ev_per_cell": -177.055, "spacegroup": "No. 25", "cell": [[4.2696, 0.0000, 0.0000], [0.0000, 8.6816, 0.0000], [0.0000, 0.0000, 8.4926]], "species": ["Na", "Li", "Mg", "Mg", "Mg", "Mg", "Mg", "Mg", "Mg", "Mg", "Mg", "Mg", "Mg", "Mg", "Mg", "Mg", "O", "O", "O", "O", "O", "O", "O", "O", "O", "O", "O", "O", "O", "O", "O"], "frac_coords": [[0.0000, 0.0000, 0.0000], [0.0000, 0.5000, 0.4919], [0.0000, 0.0000, 0.4785], [0.0000, 0.2522, 0.2457], [0.0000, 0.2770, 0.7465], [0.0000, 0.5000, 0.0017], [0.0000, 0.7230, 0.7465], [0.0000, 0.7478, 0.2457], [0.5000, 0.0000, 0.2368], [0.5000, 0.0000, 0.7478], [0.5000, 0.2503, 0.9960], [0.5000, 0.2542, 0.4980], [0.5000, 0.5000, 0.2538], [0.5000, 0.5000, 0.7429], [0.5000, 0.7458, 0.4980], [0.5000, 0.7497, 0.9960], [0.0000, 0.0000, 0.2525], [0.0000, 0.2314, 0.5103], [0.0000, 0.2607, 0.9904], [0.0000, 0.5000, 0.2464], [0.0000, 0.5000, 0.7496], [0.0000, 0.7393, 0.9904], [0.0000, 0.7686, 0.5103], [0.5000, 0.0000, 0.5111], [0.5000, 0.0000, 0.9803], [0.5000, 0.2416, 0.7470], [0.5000, 0.2463, 0.2481], [0.5000, 0.5000, 0.5000], [0.5000, 0.5000, 0.9948], [0.5000, 0.7537, 0.2481], [0.5000, 0.7584, 0.7470]]}

=====

Entry 5:
{"formula": "NaLi2MgP", "functional": "GGA-PBE", "state": "relaxed", "mass_density_g_cm3": 1.28, "dft_energy_ev_per_cell": -13.394, "e_form_ev_per_atom": -0.249, "spacegroup": "No. 123", "cell": [[4.8742, 0.0000, 0.0000], [0.0000, 4.8742, 0.0000], [0.0000, 0.0000, 5.0312]], "species": ["Na", "Li", "Li", "Mg", "P"], "frac_coords": [[0.0000, 0.0000, 0.0000], [0.0000, 0.5000, 0.5000], [0.5000, 0.0000, 0.5000], [0.5000, 0.5000, 0.0000], [0.5000, 0.5000, 0.5000]]}

=====

Entry 6:
{"formula": "NaLi2Mg2Pb2", "functional": "GGA-PBE", "state": "relaxed", "mass_density_g_cm3": 4.89, "dft_energy_ev_per_cell": -16.825, "e_form_ev_per_atom": -0.153, "spacegroup": "No. 166", "cell": [[2.5122, 1.4504, 7.7696], [-2.5122, 1.4504, 7.7696], [0.0000, -2.9008, 7.7696]], "species": ["Na", "Li", "Li", "Mg", "Mg", "Pb", "Pb"], "frac_coords": [[0.0000, 0.0000, 0.0000], [0.1353, 0.1353, 0.1353], [0.8647, 0.8647, 0.8647], [0.4219, 0.4219, 0.4219], [0.5781, 0.5781, 0.5781], [0.2613, 0.2613, 0.2613], [0.7387, 0.7387, 0.7387]]}